[1]
VASP calculation (GGA-PBE) on CrNi2P after structural relaxation.

- size of the total moment (μB per formula unit) = 1.79

a = 4.2600 Å, b = 4.2600 Å, c = 4.2600 Å
α = 132.54°, β = 125.27°, γ = 75.31°
With the nearest neighbours (Å) after each atom.
Positions (direct):
Cr 0.0000 0.0000 0.0000  4 P 2.35-2.63, 8 Ni 2.46-2.63
Ni 0.2798 0.7798 0.5000  4 Cr 2.46-2.55, 4 Ni 2.48-2.52, 4 P 2.61
Ni 0.5539 0.5539 0.0000  2 P 2.21
P 0.7611 0.2611 0.5000  2 Ni 2.21, 2 Cr 2.35

[2]
VASP calculation (GGA-PBE) on Cr2NiP after structural relaxation.

- size of the total moment (μB per formula unit) = 0.78

a = 4.3623 Å, b = 4.3623 Å, c = 4.3623 Å
α = 131.38°, β = 131.38°, γ = 71.21°
With the nearest neighbours (Å) after each atom.
Positions (direct):
Cr 0.0000 0.0000 0.0000  4 Cr 2.52, 4 Ni 2.52, 4 P 2.54
Cr 0.7500 0.2500 0.5000  4 Cr 2.52, 4 P 2.52, 4 Ni 2.54
Ni 0.2500 0.7500 0.5000  8 Cr 2.52-2.54, 4 P 2.52
P 0.5000 0.5000 0.0000  8 Cr 2.52-2.54, 4 Ni 2.52

[3]
VASP calculation (GGA-PBE) on CrNi2P after structural relaxation.

- size of the total moment (μB per formula unit) = 0.00

a = 4.4790 Å, b = 4.4790 Å, c = 4.4310 Å
α = 112.38°, β = 112.38°, γ = 33.55°
With the nearest neighbours (Å) after each atom.
Positions (direct):
Cr 0.0000 0.0000 0.0000  3 P 2.36-2.38, 2 Cr 2.59, 6 Ni 2.59-2.64
Ni 0.5538 0.5538 0.5398  2 P 2.25, 3 Ni 2.43-2.49
Ni 0.7830 0.7830 0.3494  2 P 2.27, 3 Ni 2.43-2.49
P 0.2551 0.2551 0.9090  4 Ni 2.25-2.27, 3 Cr 2.36-2.38

[4]
VASP calculation (GGA-PBE) on CrNi2P after structural relaxation.

- size of the total moment (μB per formula unit) = 2.19

a = 3.5001 Å, b = 3.5001 Å, c = 3.6571 Å
α = 90.00°, β = 90.00°, γ = 90.00°
With the nearest neighbours (Å) after each atom.
Positions (direct):
Cr 0.0000 0.0000 0.0000  4 P 2.47, 8 Ni 2.53
Ni 0.0000 0.5000 0.5000  4 Ni 2.47, 4 P 2.53, 4 Cr 2.53
Ni 0.5000 0.0000 0.5000  4 Ni 2.47, 4 P 2.53, 4 Cr 2.53
P 0.5000 0.5000 0.0000  4 Cr 2.47, 8 Ni 2.53

[5]
VASP calculation (GGA-PBE) on CrNiP after structural relaxation.

- size of the total moment (μB per formula unit) = 2.46

a = 3.8122 Å, b = 3.8122 Å, c = 3.8122 Å
α = 60.00°, β = 60.00°, γ = 60.00°
With the nearest neighbours (Å) after each atom.
Positions (direct):
Cr 0.0000 0.0000 0.0000  4 P 2.33
Ni 0.5000 0.5000 0.5000  4 P 2.33
P 0.7500 0.7500 0.7500  4 Cr 2.33, 4 Ni 2.33

[6]
VASP calculation (GGA-PBE) on CrNi2P after structural relaxation.

- size of the total moment (μB per formula unit) = 1.28

a = 2.6283 Å, b = 3.7848 Å, c = 4.7201 Å
α = 90.00°, β = 104.71°, γ = 90.00°
With the nearest neighbours (Å) after each atom.
Positions (direct):
Cr 0.0000 0.0000 0.0000  2 P 2.39, 8 Ni 2.59, 2 Cr 2.63
Ni 0.3819 0.5000 0.7400  2 P 2.27, 2 Ni 2.37-2.50
Ni 0.6181 0.5000 0.2600  2 P 2.27, 2 Ni 2.37-2.50
P 0.5000 0.0000 0.5000  4 Ni 2.27, 2 Cr 2.39

[7]
VASP calculation (GGA-PBE) on Cr2NiP after structural relaxation.

- size of the total moment (μB per formula unit) = 0.97

a = 7.6768 Å, b = 7.6768 Å, c = 7.6768 Å
α = 20.19°, β = 20.19°, γ = 20.19°
With the nearest neighbours (Å) after each atom.
Positions (direct):
Cr 0.0000 0.0000 0.0000  9 Cr 2.43-2.69, 3 Ni 2.57
Cr 0.2508 0.2508 0.2508  3 P 2.38, 3 Cr 2.43
Ni 0.7576 0.7576 0.7576  3 P 2.38, 3 Cr 2.57
P 0.5043 0.5043 0.5043  3 Cr 2.38, 3 Ni 2.38

[8]
VASP calculation (GGA-PBE) on CrNiP after structural relaxation.

- size of the total moment (μB per formula unit) = 2.64

a = 5.8999 Å, b = 3.5256 Å, c = 10.1830 Å
α = 90.00°, β = 90.16°, γ = 90.00°
With the nearest neighbours (Å) after each atom.
Positions (direct):
Cr 0.0331 0.2500 0.2156  5 P 2.41-2.54, 3 Ni 2.67-2.70
Cr 0.3516 0.7500 0.5834  5 P 2.36-2.52
Cr 0.4656 0.7500 0.8849  5 P 2.42-2.53, 4 Ni 2.71
Cr 0.5344 0.2500 0.1151  5 P 2.42-2.53, 4 Ni 2.71
Cr 0.6484 0.2500 0.4166  5 P 2.36-2.52
Cr 0.9669 0.7500 0.7844  5 P 2.41-2.54, 3 Ni 2.67-2.70
Ni 0.0061 0.2500 0.5889  4 P 2.23-2.31
Ni 0.1415 0.2500 0.9585  4 P 2.23-2.32
Ni 0.3708 0.7500 0.2931  4 P 2.22-2.29
Ni 0.6292 0.2500 0.7069  4 P 2.22-2.29
Ni 0.8585 0.7500 0.0415  4 P 2.23-2.32
Ni 0.9939 0.7500 0.4111  4 P 2.23-2.31
P 0.2455 0.7500 0.0850  4 Ni 2.24-2.32, 3 Cr 2.42-2.47
P 0.2480 0.2500 0.4175  5 Ni 2.26-2.31, 4 Cr 2.36-2.52
P 0.2613 0.2500 0.7508  3 Ni 2.22-2.23
P 0.7387 0.7500 0.2492  3 Ni 2.22-2.23
P 0.7520 0.7500 0.5825  5 Ni 2.26-2.31, 4 Cr 2.36-2.52
P 0.7545 0.2500 0.9150  4 Ni 2.24-2.32, 3 Cr 2.42-2.47

Energy of formation from the pure elements across the listed records, respectively: -0.182 -0.159 -0.148 -0.218 -0.360 -0.147 0.084 -0.514 eV/atom.